[1]
Here is LiErZrMn after structural relaxation from Alexandria. Energies are from PBE.

Summary:
Symmetry: F-43m
E_form, eV/atom: 0.13

```
4
Lattice="0.000 3.354 3.354 3.354 0.000 3.354 3.354 3.354 0.000" Properties=species:S:1:pos:R:3 pbc="T T T"
Li 0.000 0.000 0.000
Er 1.677 1.677 1.677
Zr 5.032 5.032 5.032
Mn 3.354 3.354 3.354
```

[2]
Here is ZrIrW2 after structural relaxation from Alexandria. Energies are from PBE.

Summary:
Symmetry: Cmm2
E above lowest polymorph, meV/atom: 78
E_form, eV/atom: -0.05

```
4
Lattice="1.969 -2.023 0.000 1.969 2.023 0.000 0.000 0.000 8.588" Properties=species:S:1:pos:R:3 pbc="T T T"
Zr 0.000 0.000 0.000
Ir 1.969 0.000 2.161
W 0.000 0.000 3.962
W 1.969 0.000 6.169
```

[3]
Here is CoHgSe2Br after structural relaxation from Alexandria. Energies are from PBE.

Summary:
Symmetry: P4/mmm
E above lowest polymorph, meV/atom: 0

```
5
Lattice="4.698 0.000 0.000 0.000 4.698 0.000 0.000 0.000 5.219" Properties=species:S:1:pos:R:3 pbc="T T T"
Co 0.000 0.000 0.000
Hg 2.349 2.349 2.610
Se 0.000 2.349 0.000
Se 2.349 0.000 0.000
Br 0.000 0.000 2.610
```

[4]
Here is LaNb2Co2 after structural relaxation from Alexandria. Energies are from PBE.

Summary:
Symmetry: I4/mmm
E above lowest polymorph, meV/atom: 233
E_form, eV/atom: 0.17

```
5
Lattice="-2.227 2.227 4.957 2.227 -2.227 4.957 2.227 2.227 -4.957" Properties=species:S:1:pos:R:3 pbc="T T T"
La 0.000 0.000 0.000
Nb 0.000 0.000 3.489
Nb 0.000 0.000 6.425
Co 2.227 0.000 2.479
Co 0.000 2.227 2.479
```